CaCrAg2F8: relaxed, PBE+U.

## Properties
symmetry	P2/m, No. 10
total energy	-4.852	eV per atom
spin magnetization	3.95	μB per cell

abc: 4.9965 5.4457 6.8449
angles: 90.00 90.00 93.94
Each line ends with the local moment (μB).
Element x y z (fractional)
F 0.3378 0.2937 0.5000  0.10
Ca 0.0000 0.0000 0.5000  0.00
F 0.8375 0.1732 0.7841  0.00
F 0.2962 0.2587 0.0000  0.05
Ag 0.5000 0.5000 0.2387  0.30
F 0.7038 0.7413 0.0000  0.05
F 0.1625 0.8268 0.7841  0.00
Ag 0.5000 0.5000 0.7613  0.30
Cr 0.0000 0.0000 0.0000  2.96
F 0.6622 0.7063 0.5000  0.10
F 0.1625 0.8268 0.2159  0.00
F 0.8375 0.1732 0.2159  0.00